1.
The following is a PBEsol calculation of a relaxed structure of Ba3PdN, from the Alexandria database.

Lattice parameters (Å, degrees): 5.804 5.804 5.804 90.00 90.00 90.00
Sites, in units of the cell vectors:
Ba 0.000 0.000 0.500
Ba 0.000 0.500 0.000
Ba 0.500 0.000 0.000
Pd 0.000 0.000 0.000
N 0.500 0.500 0.500

* formation energy from raw total energies: 0.65 eV/atom
* SG: No. 221
* raw total energy: -17.70 eV/cell
* magnetization: 0.00 μB per cell

***

2.
The following is a PBEsol calculation of a relaxed structure of BaPtN2, from the Alexandria database.

Lattice parameters (Å, degrees): 6.092 6.092 6.092 43.23 43.23 43.23
Sites, in units of the cell vectors:
Ba 0.000 0.000 0.000
Pt 0.500 0.500 0.500
N 0.394 0.394 0.394
N 0.606 0.606 0.606

* formation energy from raw total energies: 0.07 eV/atom
* SG: No. 166
* raw total energy: -25.88 eV/cell
* energy above the most stable polymorph in this dataset: 0.000 eV/atom
* magnetization: 0.00 μB per cell

***

3.
The following is a PBEsol calculation of a relaxed structure of BaPtN2, from the Alexandria database.

Lattice parameters (Å, degrees): 4.361 4.361 4.361 60.00 60.00 60.00
Sites, in units of the cell vectors:
Ba 0.000 0.000 0.000
Pt 0.500 0.500 0.500
N 0.250 0.250 0.250
N 0.750 0.750 0.750

* formation energy from raw total energies: 1.13 eV/atom
* SG: No. 225
* raw total energy: -21.65 eV/cell
* energy above the most stable polymorph in this dataset: 1.058 eV/atom
* magnetization: 0.00 μB per cell